4
Lattice="2.564 0.007 0.000 -1.011 2.356 0.000 0.000 0.000 8.247" Properties=species:S:1:pos:R:3 comment="FeCo2Os (PBE, relaxed)" e_form_ev_per_atom=0.264 relative_energy_kj_per_mol_atoms=16.4 dft_energy_ev_per_atom=-8.212 m_tot_mub_per_cell=6.4 n_ef_per_ev_cell=6.18 sg="Cmm2, No. 35" pbc="T T T"
Co 0.776 1.182 2.057
Os 0.776 1.182 6.188
Co 0.000 0.000 0.102
Fe 0.000 0.000 4.023

4
Lattice="3.683 0.000 -0.016 0.000 7.929 0.000 -1.008 0.000 3.544" Properties=species:S:1:pos:R:3 comment="CsPIrO (PBE, relaxed)" relative_energy_kj_per_mol_atoms=95.3 dft_energy_ev_per_atom=-4.954 m_tot_mub_per_cell=0.1 n_ef_per_ev_cell=1.57 sg="Pm, No. 6" raw_formation_energy_ev_per_fu=0.3 pbc="T T T"
O 0.477 0.000 2.719
P 0.734 3.964 2.535
Ir 2.480 3.964 1.210
Cs 2.825 0.000 0.938